(1)
# GGA-PBE CrRe2P, optimized geometry
data_CrRe2P
_chemical_formula_sum 'Cr1 Re2 P1'
_cell_length_a 2.837
_cell_length_b 3.923
_cell_length_c 4.881
_cell_angle_alpha 90.00
_cell_angle_beta 90.00
_cell_angle_gamma 90.00
_space_group_name_H-M_alt 'P m m 2'
_space_group_IT_number 25
_space_group_name_Hall 'P 2 -2'
loop_
_atom_site_label
_atom_site_type_symbol
_atom_site_fract_x
_atom_site_fract_y
_atom_site_fract_z
Cr1 Cr 0.000 0.000 0.000
Re1 Re 0.000 0.000 0.478
Re2 Re 0.500 0.500 0.729
P1 P 0.500 0.500 0.222
# electronic total energy = -9.910 eV per atom
# total magnetization = 0.397 μB/cell
# ΔH_f (0 K) = 72 meV per atom
# mass density = 13.9 g/cm3



(2)
# GGA-PBE CrReP2, optimized geometry
data_CrReP2
_chemical_formula_sum 'Cr1 Re1 P2'
_cell_length_a 2.904
_cell_length_b 4.302
_cell_length_c 4.093
_cell_angle_alpha 90.00
_cell_angle_beta 90.00
_cell_angle_gamma 90.00
_space_group_name_H-M_alt 'P m m 2'
_space_group_IT_number 25
_space_group_name_Hall 'P 2 -2'
loop_
_atom_site_label
_atom_site_type_symbol
_atom_site_fract_x
_atom_site_fract_y
_atom_site_fract_z
Cr1 Cr 0.000 0.000 0.000
Re1 Re 0.500 0.500 0.246
P1 P 0.000 0.500 0.747
P2 P 0.500 0.000 0.513
# electronic total energy = -8.430 eV per atom
# total magnetization = 0.000 μB/cell
# ΔH_f (0 K) = -208 meV per atom
# mass density = 9.7 g/cm3



(3)
# GGA-PBE CrReP2, optimized geometry
data_CrReP2
_chemical_formula_sum 'Cr2 Re2 P4'
_cell_length_a 3.081
_cell_length_b 3.087
_cell_length_c 11.147
_cell_angle_alpha 90.00
_cell_angle_beta 90.00
_cell_angle_gamma 90.00
_space_group_name_H-M_alt 'I m m 2'
_space_group_IT_number 44
_space_group_name_Hall 'I 2 -2'
loop_
_atom_site_label
_atom_site_type_symbol
_atom_site_fract_x
_atom_site_fract_y
_atom_site_fract_z
Cr1 Cr 0.000 0.000 0.000
Re1 Re 0.000 0.500 0.749
P1 P 0.000 0.000 0.579
P2 P 0.000 0.500 0.343
# electronic total energy = -8.583 eV per atom
# total magnetization = 0.000 μB/cell
# ΔH_f (0 K) = -361 meV per atom
# mass density = 9.4 g/cm3



(4)
# GGA-PBE CrReP2, optimized geometry
data_CrReP2
_chemical_formula_sum 'Cr4 Re4 P8'
_cell_length_a 5.977
_cell_length_b 5.977
_cell_length_c 5.977
_cell_angle_alpha 90.00
_cell_angle_beta 90.00
_cell_angle_gamma 90.00
_space_group_name_H-M_alt 'F -4 3 m'
_space_group_IT_number 216
_space_group_name_Hall 'F -4 2 3'
loop_
_atom_site_label
_atom_site_type_symbol
_atom_site_fract_x
_atom_site_fract_y
_atom_site_fract_z
Cr1 Cr 0.000 0.000 0.000
Re1 Re 0.250 0.250 0.250
P1 P 0.000 0.000 0.500
P2 P 0.250 0.250 0.750
# electronic total energy = -7.773 eV per atom
# total magnetization = 6.822 μB/cell
# ΔH_f (0 K) = 450 meV per atom
# mass density = 9.3 g/cm3